# TaP3Pt GGA-PBE relaxed
# Calculated density, g cm⁻³: 8.0
# Offset from the most stable computed form, meV/atom: 268.5
data_TaP3Pt
_chemical_formula_sum 'Ta1 P3 Pt1'
_cell_length_a 4.5962
_cell_length_b 4.5962
_cell_length_c 4.5962
_cell_angle_alpha 90.00
_cell_angle_beta 90.00
_cell_angle_gamma 90.00
_symmetry_space_group_name_H-M 'P m -3 m'
_symmetry_Int_Tables_number 221
_symmetry_space_group_name_Hall '-P 4 2 3'
loop_
_atom_site_label
_atom_site_type_symbol
_atom_site_fract_x
_atom_site_fract_y
_atom_site_fract_z
_atom_site_occupancy
Ta1 Ta 0.0000 0.0000 0.0000 1
P1 P 0.0000 0.5000 0.5000 1
Pt1 Pt 0.5000 0.5000 0.5000 1

***

# TaPPt2 GGA-PBE relaxed
# Calculated density, g cm⁻³: 16.1
# E, eV/atom: -7.6944
data_TaPPt2
_chemical_formula_sum 'Ta1 P1 Pt2'
_cell_length_a 2.9854
_cell_length_b 2.9854
_cell_length_c 6.9500
_cell_angle_alpha 90.00
_cell_angle_beta 90.00
_cell_angle_gamma 90.00
_symmetry_space_group_name_H-M 'P 4 m m'
_symmetry_Int_Tables_number 99
_symmetry_space_group_name_Hall 'P 4 -2'
loop_
_atom_site_label
_atom_site_type_symbol
_atom_site_fract_x
_atom_site_fract_y
_atom_site_fract_z
_atom_site_occupancy
Ta1 Ta 0.0000 0.0000 0.0000 1
P1 P 0.5000 0.5000 0.2321 1
Pt1 Pt 0.0000 0.0000 0.4369 1
Pt2 Pt 0.5000 0.5000 0.7448 1

***

# TaPPt2 GGA-PBE relaxed
# Calculated density, g cm⁻³: 15.8
# E, eV/atom: -7.5663
data_TaPPt2
_chemical_formula_sum 'Ta2 P2 Pt4'
_cell_length_a 5.3200
_cell_length_b 8.2614
_cell_length_c 2.8856
_cell_angle_alpha 90.00
_cell_angle_beta 90.00
_cell_angle_gamma 90.00
_symmetry_space_group_name_H-M 'C m m m'
_symmetry_Int_Tables_number 65
_symmetry_space_group_name_Hall '-C 2 2'
loop_
_atom_site_label
_atom_site_type_symbol
_atom_site_fract_x
_atom_site_fract_y
_atom_site_fract_z
_atom_site_occupancy
Ta1 Ta 0.0000 0.0000 0.0000 1
P1 P 0.0000 0.5000 0.0000 1
Pt1 Pt 0.2500 0.2500 0.5000 1

***

# Ta2PPt GGA-PBE relaxed
# Calculated density, g cm⁻³: 14.3
# E, eV/atom: -9.0933
data_Ta2PPt
_chemical_formula_sum 'Ta4 P2 Pt2'
_cell_length_a 6.3995
_cell_length_b 3.0170
_cell_length_c 7.1703
_cell_angle_alpha 90.00
_cell_angle_beta 100.48
_cell_angle_gamma 90.00
_symmetry_space_group_name_H-M 'C 1 2/m 1'
_symmetry_Int_Tables_number 12
_symmetry_space_group_name_Hall '-C 2y'
loop_
_atom_site_label
_atom_site_type_symbol
_atom_site_fract_x
_atom_site_fract_y
_atom_site_fract_z
_atom_site_occupancy
Ta1 Ta 0.2487 0.0000 0.2165 1
P1 P 0.0000 0.5000 0.0000 1
Pt1 Pt 0.0000 0.0000 0.5000 1

***

# Ta2PPt GGA-PBE relaxed
# Calculated density, g cm⁻³: 14.1
# E, eV/atom: -9.1658
data_Ta2PPt
_chemical_formula_sum 'Ta6 P3 Pt3'
_cell_length_a 3.4772
_cell_length_b 3.4772
_cell_length_c 19.8032
_cell_angle_alpha 90.00
_cell_angle_beta 90.00
_cell_angle_gamma 120.00
_symmetry_space_group_name_H-M 'R -3 m'
_symmetry_Int_Tables_number 166
_symmetry_space_group_name_Hall '-R 3 2"'
loop_
_atom_site_label
_atom_site_type_symbol
_atom_site_fract_x
_atom_site_fract_y
_atom_site_fract_z
_atom_site_occupancy
Ta1 Ta 0.0000 0.0000 0.2368 1
P1 P 0.0000 0.0000 0.5000 1
Pt1 Pt 0.0000 0.0000 0.0000 1

***

# TaPPt2 GGA-PBE relaxed
# Calculated density, g cm⁻³: 15.9
# E, eV/atom: -7.5128
data_TaPPt2
_chemical_formula_sum 'Ta3 P3 Pt6'
_cell_length_a 2.9027
_cell_length_b 2.9027
_cell_length_c 25.9159
_cell_angle_alpha 90.00
_cell_angle_beta 90.00
_cell_angle_gamma 120.00
_symmetry_space_group_name_H-M 'R -3 m'
_symmetry_Int_Tables_number 166
_symmetry_space_group_name_Hall '-R 3 2"'
loop_
_atom_site_label
_atom_site_type_symbol
_atom_site_fract_x
_atom_site_fract_y
_atom_site_fract_z
_atom_site_occupancy
Ta1 Ta 0.0000 0.0000 0.0000 1
P1 P 0.0000 0.0000 0.5000 1
Pt1 Pt 0.0000 0.0000 0.2445 1